[1]
An optimized crystal structure of Ni14SbPt. Source: the Alexandria database, functional PBE.

The space group is Amm2 (No. 38) and the conventional cell measures 8.3229, 5.1823 and 8.8023 Å, with angles of 90.00, 90.00 and 90.00 degrees. Symmetry generates all atoms from Ni at (0.0000, 0.0000, 0.0000), Ni at (0.0000, 0.0000, 0.4999), Ni at (0.0000, 0.2491, 0.2492), Ni at (0.2368, 0.2491, 0.9208), Ni at (0.2410, 0.0000, 0.1658), Ni at (0.2415, 0.0000, 0.6669), Ni at (0.5000, 0.2492, 0.5859), Sb at (0.5000, 0.0000, 0.3355) and Pt at (0.5000, 0.0000, 0.8362).

The value obtained for the formation energy from raw total energies is 10 meV per atom. For the density, the calculation gives 9.960 g/cm³. The calculation puts the final energy at -181.90 eV/cell.

***

[2]
An optimized crystal structure of ReAgPd3. Source: the Alexandria database, functional PBE.

The space group is Pm-3m (No. 221) and the conventional cell measures 4.8266, 4.8266 and 4.8266 Å, with angles of 90.00, 90.00 and 90.00 degrees. Symmetry generates all atoms from Re at (0.0000, 0.0000, 0.0000), Ag at (0.5000, 0.5000, 0.5000) and Pd at (0.0000, 0.5000, 0.5000).

The energy relative to the lowest polymorph listed for this composition comes out at 63.89 kJ/mol of atoms. For the density, the calculation gives 9.058 g/cm³. The calculation puts the final energy at -21.68 eV/cell. For the formation energy, the calculation gives 1.840 eV/atom.

***

[3]
An optimized crystal structure of MnRuCl3. Source: the Alexandria database, functional PBE.

The space group is Pm-3m (No. 221) and the conventional cell measures 4.8071, 4.8071 and 4.8071 Å, with angles of 90.00, 90.00 and 90.00 degrees. Symmetry generates all atoms from Mn at (0.0000, 0.0000, 0.0000), Ru at (0.5000, 0.5000, 0.5000) and Cl at (0.0000, 0.5000, 0.5000).

The energy relative to the lowest polymorph listed for this composition comes out at 0.00 kJ/mol of atoms. The value obtained for the formation energy from raw total energies is 184 meV per atom. For the density, the calculation gives 3.922 g/cm³. The calculation puts the final energy at -23.06 eV/cell.

***

[4]
An optimized crystal structure of Y6TlGe2Te3. Source: the Alexandria database, functional PBE.

The space group is C2/m (No. 12) and the conventional cell measures 18.9470, 4.2514 and 8.7791 Å, with angles of 90.00, 104.59 and 90.00 degrees. Symmetry generates all atoms from Y at (0.0088, 0.0000, 0.2558), Y at (0.1683, 0.5000, 0.1062), Y at (0.1743, 0.5000, 0.5655), Tl at (0.0000, 0.5000, 0.0000), Ge at (0.1671, 0.0000, 0.3337), Te at (0.0000, 0.5000, 0.5000) and Te at (0.1644, 0.0000, 0.8313).

The value obtained for the formation energy from raw total energies is -1068 meV per atom. For the density, the calculation gives 6.143 g/cm³. The calculation puts the final energy at -145.25 eV/cell.

***

[5]
An optimized crystal structure of HoEr3Co2. Source: the Alexandria database, functional PBE.

The space group is C2/m (No. 12) and the conventional cell measures 16.2109, 3.7261 and 11.4185 Å, with angles of 90.00, 123.72 and 90.00 degrees. Symmetry generates all atoms from Ho at (0.1590, 0.0000, 0.2456), Er at (0.0839, 0.5000, 0.4407), Er at (0.0840, 0.5000, 0.9392), Er at (0.1593, 0.0000, 0.7462), Co at (0.2324, 0.0000, 0.0479) and Co at (0.2328, 0.0000, 0.5484).

The energy relative to the lowest polymorph listed for this composition comes out at 0.00 kJ/mol of atoms. For the density, the calculation gives 9.084 g/cm³. The calculation puts the final energy at -134.22 eV/cell. For the formation energy, the calculation gives -0.180 eV/atom.

***

[6]
An optimized crystal structure of BaEr2Sc. Source: the Alexandria database, functional PBE.

The space group is R-3m (No. 166, hexagonal axes) and the conventional cell measures 3.5220, 3.5220 and 37.2922 Å, with angles of 90.00, 90.00 and 120.00 degrees. Symmetry generates all atoms from Ba at (0.0000, 0.0000, 0.0000), Er at (0.0000, 0.0000, 0.0963) and Sc at (0.0000, 0.0000, 0.5000).

The energy relative to the lowest polymorph listed for this composition comes out at 8.78 kJ/mol of atoms. For the density, the calculation gives 6.426 g/cm³. The calculation puts the final energy at -49.04 eV/cell. For the formation energy, the calculation gives 0.259 eV/atom.

***

[7]
An optimized crystal structure of PrSmMnCd. Source: the Alexandria database, functional PBE.

The space group is F-43m (No. 216) and the conventional cell measures 7.5327, 7.5327 and 7.5327 Å, with angles of 90.00, 90.00 and 90.00 degrees. Symmetry generates all atoms from Pr at (0.0000, 0.0000, 0.0000), Sm at (0.0000, 0.0000, 0.5000), Mn at (0.2500, 0.2500, 0.7500) and Cd at (0.2500, 0.2500, 0.2500).

For the density, the calculation gives 7.127 g/cm³. The calculation puts the final energy at -78.10 eV/cell. For the formation energy, the calculation gives 0.014 eV/atom.

***

[8]
An optimized crystal structure of Mn2AgOs. Source: the Alexandria database, functional PBE.

The space group is Cmmm (No. 65) and the conventional cell measures 6.0223, 6.8870 and 2.8591 Å, with angles of 90.00, 90.00 and 90.00 degrees. Symmetry generates all atoms from Mn at (0.2500, 0.2500, 0.0000), Ag at (0.0000, 0.0000, 0.5000) and Os at (0.0000, 0.5000, 0.5000).

For the density, the calculation gives 11.426 g/cm³. The calculation puts the final energy at -61.92 eV/cell. For the formation energy, the calculation gives 0.365 eV/atom.

***

[9]
An optimized crystal structure of AlGaCuOs. Source: the Alexandria database, functional PBE.

The space group is F-43m (No. 216) and the conventional cell measures 6.0461, 6.0461 and 6.0461 Å, with angles of 90.00, 90.00 and 90.00 degrees. Symmetry generates all atoms from Al at (0.0000, 0.0000, 0.0000), Ga at (0.0000, 0.0000, 0.5000), Cu at (0.2500, 0.2500, 0.2500) and Os at (0.2500, 0.2500, 0.7500).

For the density, the calculation gives 10.533 g/cm³. The calculation puts the final energy at -90.30 eV/cell. For the formation energy, the calculation gives -0.120 eV/atom.

***

[10]
An optimized crystal structure of BaNa3Ag3. Source: the Alexandria database, functional PBE.

The space group is Pm-3n (No. 223) and the conventional cell measures 7.9192, 7.9192 and 7.9192 Å, with angles of 90.00, 90.00 and 90.00 degrees. Symmetry generates all atoms from Ba at (0.0000, 0.0000, 0.0000), Na at (0.0000, 0.2500, 0.5000) and Ag at (0.0000, 0.5000, 0.2500).

For the density, the calculation gives 3.543 g/cm³. The calculation puts the final energy at -26.00 eV/cell. For the formation energy, the calculation gives 0.205 eV/atom.

***

[11]
An optimized crystal structure of Te2OsAu2. Source: the Alexandria database, functional PBE.

The space group is I4/mmm (No. 139) and the conventional cell measures 5.4382, 5.4382 and 7.9215 Å, with angles of 90.00, 90.00 and 90.00 degrees. Symmetry generates all atoms from Te at (0.0000, 0.5000, 0.2500), Os at (0.0000, 0.0000, 0.0000) and Au at (0.0000, 0.0000, 0.3349).

The value obtained for the formation energy from raw total energies is 1002 meV per atom. For the density, the calculation gives 11.899 g/cm³. The calculation puts the final energy at -38.12 eV/cell.

***

[12]
An optimized crystal structure of TlSBr2. Source: the Alexandria database, functional PBE.

The space group is R-3m (No. 166, hexagonal axes) and the conventional cell measures 4.2928, 4.2928 and 28.4052 Å, with angles of 90.00, 90.00 and 120.00 degrees. Symmetry generates all atoms from Tl at (0.0000, 0.0000, 0.0000), S at (0.0000, 0.0000, 0.5000) and Br at (0.0000, 0.0000, 0.1047).

The energy relative to the lowest polymorph listed for this composition comes out at 36.39 kJ/mol of atoms. The value obtained for the formation energy from raw total energies is 414 meV per atom. For the density, the calculation gives 4.354 g/cm³. The calculation puts the final energy at -24.55 eV/cell.